Density functional theory data (PBE-GGA) for a geometry-optimized TlCdSnHg structure.

The structure in POSCAR format:
```
TlCdSnHg
1.0
-0.2446 -1.2599 -3.0994
-2.7649 -1.4718 1.2010
-5.2030 7.6045 -2.6944
Tl Cd Sn Hg
1 1 1 1
Direct
0.6453 0.3547 0.9789
0.6473 0.3527 0.4669
0.1473 0.8527 0.7016
0.1451 0.8549 0.2413
```

Output
The energy relative to the elements comes out at 0.03 eV/atom. The calculation puts the calculated volume at 107.4 Å³/cell. Its energy above the most stable polymorph in this dataset is 0.0 meV per atom. For the size of the total moment, the calculation gives 0.000 μB per atom. As for the space group: No. 8.